Entry one
Compound: CaPS2N
Source: the Alexandria database
Functional: PBE
Structure: optimized geometry

Cell: 4.8177 4.8177 3.3994 Å, 90.00 90.00 90.00°
Last column: nearest neighbours and their distance in Å.
Element x y z (fractional)
N1 0.0000 0.0000 0.5000  2 P 1.70
P1 0.0000 0.0000 0.0000  2 N 1.70
Ca1 0.5000 0.5000 0.5000  8 S 2.95
S1 0.0000 0.5000 0.0000  2 P 2.41
S2 0.5000 0.0000 0.0000  2 P 2.41

Computed properties:
The value obtained for the density of states at the Fermi level is 0.25 states/eV per atom.

Entry two
Compound: CaPS2N
Source: the Alexandria database
Functional: PBE
Structure: optimized geometry

Cell: 5.2769 5.2769 4.3856 Å, 90.00 90.00 90.00°
Last column: nearest neighbours and their distance in Å.
Element x y z (fractional)
N1 0.0000 0.0000 0.5000  2 Ca 2.19
P1 0.5000 0.5000 0.5000  8 S 3.43, 4 N 3.73
S1 0.5000 0.0000 0.0000  2 Ca 2.64
S2 0.0000 0.5000 0.0000  2 Ca 2.64
Ca1 0.0000 0.0000 0.0000  2 N 2.19

Computed properties:
The value obtained for the density of states at the Fermi level is 0.70 states/eV per atom.

Entry three
Compound: CaPS2N
Source: the Alexandria database
Functional: PBE
Structure: optimized geometry

Cell: 5.3627 5.3627 5.7248 Å, 90.00 90.00 90.00°
Last column: nearest neighbours and their distance in Å.
Element x y z (fractional)
P1 0.0000 0.0000 0.5000  2 Ca 2.86
N1 0.5000 0.5000 0.5000  4 P 3.79, 8 S 3.92
S1 0.0000 0.5000 0.0000  2 Ca 2.68
S2 0.5000 0.0000 0.0000  2 Ca 2.68
Ca1 0.0000 0.0000 0.0000  4 S 2.68, 2 P 2.86

Computed properties:
The value obtained for the density of states at the Fermi level is 0.80 states/eV per atom.

Entry four
Compound: CaPS2N
Source: the Alexandria database
Functional: PBE
Structure: optimized geometry

Cell: 4.8717 4.8717 3.5528 Å, 90.00 90.00 90.00°
Last column: nearest neighbours and their distance in Å.
Element x y z (fractional)
N1 0.0000 0.0000 0.0000  2 P 1.78
P1 0.0000 0.0000 0.5000  2 N 1.78
S1 0.5000 0.0000 0.0000  2 N 2.44
S2 0.0000 0.5000 0.0000  2 N 2.44
Ca1 0.5000 0.5000 0.5000  8 S 3.01

Computed properties:
The value obtained for the density of states at the Fermi level is 0.08 states/eV per atom.

Tell me which of them is the least stable. Sure, it is entry three.

Entry one
Compound: CaTePN2
Source: the Alexandria database
Functional: PBE
Structure: optimized geometry

Cell: 4.4359 4.4359 6.6712 Å, 90.00 90.00 90.00°
Last column: nearest neighbours and their distance in Å.
Element x y z (fractional)
Te1 0.0000 0.0000 0.5000  4 P 3.14, 2 Ca 3.34
Ca1 0.0000 0.0000 0.0000  4 N 2.22
N1 0.0000 0.5000 0.0000  2 Ca 2.22
N2 0.5000 0.0000 0.0000  2 Ca 2.22
P1 0.5000 0.5000 0.5000  4 Te 3.14

Computed properties:
The value obtained for the density of states at the Fermi level is 0.58 states/eV per atom.

Entry two
Compound: CaTePN2
Source: the Alexandria database
Functional: PBE
Structure: optimized geometry

Cell: 3.9779 3.9779 5.4154 Å, 90.00 90.00 90.00°
Last column: nearest neighbours and their distance in Å.
Element x y z (fractional)
N1 0.5000 0.0000 0.0000  2 P 1.99
N2 0.0000 0.5000 0.0000  2 P 1.99
P1 0.0000 0.0000 0.0000  4 N 1.99
Te1 0.0000 0.0000 0.5000  2 P 2.71, 4 Ca 2.81
Ca1 0.5000 0.5000 0.5000  4 Te 2.81

Computed properties:
The value obtained for the density of states at the Fermi level is 0.54 states/eV per atom.

Tell me which of them is the least stable. Sure, it is entry one.

Entry one
Compound: Ca4PbN
Source: the Alexandria database
Functional: PBE
Structure: optimized geometry

Cell: 5.0581 7.0047 9.4770 Å, 90.00 105.48 90.00°
Last column: nearest neighbours and their distance in Å.
Element x y z (fractional)
Ca1 0.0000 0.5000 0.0000  2 N 2.46
Ca2 0.4112 0.2500 0.8225  2 N 2.53
Ca3 0.5888 0.7500 0.1775  2 N 2.53
Ca4 0.0000 0.0000 0.0000  2 N 2.46
Ca5 0.8191 0.4925 0.6382  1 N 2.32
Ca6 0.1809 0.9925 0.3618  1 N 2.32
Ca7 0.8191 0.0075 0.6382  1 N 2.32
Ca8 0.1809 0.5075 0.3618  1 N 2.32
N1 0.9056 0.2500 0.8112  6 Ca 2.32-2.53
N2 0.0944 0.7500 0.1888  6 Ca 2.32-2.53
Pb1 0.6095 0.2500 0.2190  11 Ca 3.37-3.67
Pb2 0.3905 0.7500 0.7810  11 Ca 3.37-3.67

Computed properties:
The value obtained for the density of states at the Fermi level is 0.14 states/eV per atom.

Entry two
Compound: Ca4PbN
Source: the Alexandria database
Functional: PBE
Structure: optimized geometry

Cell: 5.8968 6.9437 9.5661 Å, 111.28 109.95 90.00°
Last column: nearest neighbours and their distance in Å.
Element x y z (fractional)
Ca1 0.4160 0.6229 0.7621  1 N 2.32
Ca2 0.0000 0.7321 0.0000  2 N 2.38
Ca3 0.7839 0.3075 0.6150  1 N 2.32
Ca4 0.0000 0.2679 0.0000  2 N 2.38
Ca5 0.2161 0.6925 0.3850  1 N 2.32
Ca6 0.5840 0.8607 0.2379  1 N 2.32
Ca7 0.4160 0.1393 0.7621  1 N 2.32
Ca8 0.5840 0.3771 0.2379  1 N 2.32
Pb1 0.8388 0.8147 0.6294  12 Ca 3.48-3.66
Pb2 0.1612 0.1853 0.3706  12 Ca 3.48-3.66
N1 0.2939 0.5740 0.1481  5 Ca 2.32-2.38
N2 0.7061 0.4260 0.8519  5 Ca 2.32-2.38

Computed properties:
The value obtained for the density of states at the Fermi level is 0.40 states/eV per atom.

Tell me which of them is the least stable. Sure, it is entry two.

Entry one
Compound: Ca6Pb2N
Source: the Alexandria database
Functional: PBE
Structure: optimized geometry

Cell: 7.0947 7.0947 7.0956 Å, 60.00 60.00 60.01°
Last column: nearest neighbours and their distance in Å.
Element x y z (fractional)
Ca1 0.7383 0.2622 0.2617  1 N 2.39
Ca2 0.2617 0.7378 0.7383  1 N 2.39
Ca3 0.7381 0.7381 0.2625  1 N 2.39
Ca4 0.7378 0.2617 0.7383  1 N 2.39
Ca5 0.2622 0.7383 0.2617  1 N 2.39
Ca6 0.2619 0.2619 0.7375  1 N 2.39
Pb1 0.2500 0.2500 0.2498  12 Ca 3.55
Pb2 0.7500 0.7500 0.7502  12 Ca 3.55
N1 0.5000 0.5000 0.5000  6 Ca 2.39

Computed properties:
The value obtained for the density of states at the Fermi level is 0.13 states/eV per atom.

Entry two
Compound: Ca6Pb2N
Source: the Alexandria database
Functional: PBE
Structure: optimized geometry

Cell: 3.6174 9.5882 9.1184 Å, 121.72 90.00 90.00°
Last column: nearest neighbours and their distance in Å.
Element x y z (fractional)
Ca1 0.5000 0.5206 0.0000  4 Pb 3.45, 2 Ca 3.62
Ca2 0.5000 0.4589 0.3877  4 Pb 3.27-3.31, 2 Ca 3.62
Ca3 0.0000 0.9750 0.2046  2 N 2.52
Ca4 0.0000 0.7705 0.7954  2 N 2.52
Ca5 0.5000 0.0712 0.6123  4 Pb 3.27-3.31, 2 Ca 3.62
Ca6 0.0000 0.1433 0.0000  2 N 2.58
Pb1 0.0000 0.3659 0.6235  7 Ca 3.27-3.45, 2 Pb 3.62
Pb2 0.0000 0.7424 0.3765  7 Ca 3.27-3.45, 2 Pb 3.62
N1 0.5000 0.9522 0.0000  6 Ca 2.52-2.58

Computed properties:
The value obtained for the density of states at the Fermi level is 0.42 states/eV per atom.

Tell me which of them is the least stable. Sure, it is entry two.

Entry one
Compound: Ca4Pb2N
Source: the Alexandria database
Functional: PBE
Structure: optimized geometry

Cell: 5.0098 5.0098 8.6301 Å, 73.13 73.13 90.00°
Last column: nearest neighbours and their distance in Å.
Element x y z (fractional)
Ca1 0.5000 0.0000 0.0000  2 N 2.50
Ca2 0.1530 0.1530 0.6940  1 N 2.41
Ca3 0.0000 0.5000 0.0000  2 N 2.50
Ca4 0.8470 0.8470 0.3060  1 N 2.41
Pb1 0.6353 0.6353 0.7294  9 Ca 3.29-3.55
Pb2 0.3647 0.3647 0.2706  9 Ca 3.29-3.55
N1 0.0000 0.0000 0.0000  6 Ca 2.41-2.50

Computed properties:
The value obtained for the density of states at the Fermi level is 0.77 states/eV per atom.

Entry two
Compound: Ca4Pb2N
Source: the Alexandria database
Functional: PBE
Structure: optimized geometry

Cell: 3.4697 5.2897 12.7123 Å, 102.01 90.00 90.00°
Last column: nearest neighbours and their distance in Å.
Element x y z (fractional)
Ca1 0.5000 0.4404 0.8808  2 N 2.28
Ca2 0.5000 0.5596 0.1192  2 N 2.28
Ca3 0.0000 0.2971 0.5943  4 Pb 3.29, 4 Ca 3.47-3.53
Ca4 0.0000 0.7029 0.4057  4 Pb 3.29, 4 Ca 3.47-3.53
Pb1 0.5000 0.1658 0.3317  4 Ca 3.29, 2 Pb 3.47
Pb2 0.5000 0.8342 0.6683  4 Ca 3.29, 2 Pb 3.47
N1 0.0000 0.5000 0.0000  4 Ca 2.28

Computed properties:
The value obtained for the density of states at the Fermi level is 0.55 states/eV per atom.

Tell me which of them is the least stable. Sure, it is entry two.

Entry one
Compound: CaPbS2N
Source: the Alexandria database
Functional: PBE
Structure: optimized geometry

Cell: 5.2702 5.2702 4.2972 Å, 90.00 90.00 90.00°
Last column: nearest neighbours and their distance in Å.
Element x y z (fractional)
S1 0.5000 0.0000 0.0000  2 Pb 2.64
S2 0.0000 0.5000 0.0000  2 Pb 2.64
N1 0.0000 0.0000 0.5000  2 Pb 2.15
Pb1 0.0000 0.0000 0.0000  2 N 2.15
Ca1 0.5000 0.5000 0.5000  8 S 3.40, 4 N 3.73

Computed properties:
The value obtained for the density of states at the Fermi level is 0.36 states/eV per atom.

Entry two
Compound: CaPbS2N
Source: the Alexandria database
Functional: PBE
Structure: optimized geometry

Cell: 5.3137 5.3137 4.5275 Å, 90.00 90.00 90.00°
Last column: nearest neighbours and their distance in Å.
Element x y z (fractional)
N1 0.0000 0.0000 0.5000  2 Ca 2.26
Ca1 0.0000 0.0000 0.0000  2 N 2.26
Pb1 0.5000 0.5000 0.5000  8 S 3.49, 4 N 3.76
S1 0.0000 0.5000 0.0000  2 Ca 2.66
S2 0.5000 0.0000 0.0000  2 Ca 2.66

Computed properties:
The value obtained for the density of states at the Fermi level is 0.84 states/eV per atom.

Tell me which of them is the least stable. Sure, it is entry two.